Here is a geometry-optimized Nd3Sm2Ho7 structure from the Alexandria database. Energies are from PBE-GGA.

Lattice parameters (Å, degrees): 3.582 5.842 18.856 93.17 90.00 90.00
Atoms (fractional coordinates):
Nd 0.500 0.500 0.000
Nd 0.000 0.223 0.368
Nd 0.000 0.777 0.632
Sm 0.500 0.711 0.292
Sm 0.500 0.289 0.708
Ho 0.500 0.743 0.462
Ho 0.500 0.257 0.538
Ho 0.000 0.691 0.143
Ho 0.000 0.000 0.000
Ho 0.000 0.309 0.857
Ho 0.500 0.807 0.827
Ho 0.500 0.193 0.173

Values from the calculation:
density	7.96	g/cm³
VASP energy	-4.56	eV per atom